Compound: NiTeI2O
Source: Alexandria via LeMat-Bulk
Functional: GGA+U
Structure: relaxed

Cell and atoms, written as POSCAR:
```
NiTeI2O
1.0
6.1090 0.0000 0.0000
0.0000 6.1090 0.0000
0.0000 0.0000 4.0484
I Ni O Te
2 1 1 1
Direct
0.5000 0.0000 0.0000 I
0.0000 0.5000 0.0000 I
0.5000 0.5000 0.5000 Ni
0.0000 0.0000 0.5000 O
0.0000 0.0000 0.0000 Te
```

crystal system = tetragonal
uncorrected energy = -11.043 eV/cell
DOS(E_F) = 2.2417 states/eV/atom
size of the total moment = 0.1894 μB per atom
space group = P4/mmm
volume = 30.22 Å³/atom